(1)
The following is a DFT calculation (PBEsol) of P2OsSeS after structural relaxation.

```
P2OsSeS
1.0
-1.034 1.868 -3.809
-3.439 -3.080 -0.577
-2.934 2.864 2.200
P S Os Se
2 1 1 1
Direct
0.000 0.000 0.500
0.000 0.500 0.000
0.500 0.000 0.000
0.000 0.000 0.000
0.500 0.500 0.500
```

space group = P4/mmm
formation energy (no corrections) = 14.57 kcal/mol of atoms

***

(2)
The following is a DFT calculation (PBEsol) of ReTcBr4 after structural relaxation.

```
ReTcBr4
1.0
5.925 0.000 0.000
2.963 5.132 0.000
2.963 1.711 4.838
Br Re Tc
4 1 1
Direct
0.375 0.375 0.375
0.375 0.375 0.874
0.874 0.375 0.375
0.375 0.874 0.375
0.750 0.750 0.750
0.000 0.000 0.000
```

space group = F-43m
formation energy (no corrections) = 50.14 kcal/mol of atoms

***

(3)
The following is a DFT calculation (PBEsol) of CuAs after structural relaxation.

```
CuAs
1.0
3.814 0.000 0.000
-1.907 3.303 0.000
0.000 0.000 4.906
As Cu
2 2
Direct
0.333 0.667 0.750
0.667 0.333 0.250
0.000 0.000 0.000
0.000 0.000 0.500
```

formation energy = 0.027 eV/atom
space group = P6_3/mmc

***

(4)
The following is a DFT calculation (PBEsol) of Cs3KOs after structural relaxation.

```
Cs3KOs
1.0
6.617 0.000 0.000
0.000 6.617 0.000
0.000 0.000 6.617
Cs K Os
3 1 1
Direct
0.000 0.500 0.000
0.000 0.000 0.500
0.500 0.000 0.000
0.500 0.500 0.500
0.000 0.000 0.000
```

formation energy = 1.095 eV/atom
space group = Pm-3m

***

(5)
The following is a DFT calculation (PBEsol) of LuGaPt after structural relaxation.

```
LuGaPt
1.0
-1.318 0.724 -4.071
-1.083 -6.490 -0.803
-7.084 0.879 2.449
Lu Ga Pt
4 4 4
Direct
0.750 0.014 0.301
0.750 0.514 0.199
0.250 0.986 0.699
0.250 0.486 0.801
0.750 0.674 0.575
0.750 0.174 0.925
0.250 0.326 0.425
0.250 0.826 0.075
0.750 0.771 0.901
0.750 0.271 0.599
0.250 0.229 0.099
0.250 0.729 0.401
```

formation energy = -1.141 eV/atom
space group = Pnma

***

(6)
The following is a DFT calculation (PBEsol) of VCd2BiO6 after structural relaxation.

```
VCd2BiO6
1.0
-4.209 -2.081 3.062
1.881 -6.648 -1.931
3.697 1.348 5.998
V Cd Bi O
2 4 2 12
Direct
0.513 0.170 0.830
0.013 0.830 0.170
0.022 0.315 0.091
0.522 0.685 0.909
0.522 0.091 0.315
0.022 0.909 0.685
0.041 0.402 0.598
0.541 0.598 0.402
0.369 0.386 0.931
0.869 0.614 0.069
0.869 0.931 0.386
0.369 0.069 0.614
0.282 0.350 0.338
0.782 0.650 0.662
0.782 0.338 0.350
0.282 0.662 0.650
0.816 0.204 0.796
0.316 0.796 0.204
0.493 0.023 0.977
0.993 0.977 0.023
```

space group = Cmc2_1
formation energy (no corrections) = -37.32 kcal/mol of atoms

***

(7)
The following is a DFT calculation (PBEsol) of Mn2C after structural relaxation.

```
Mn2C
1.0
2.877 0.000 0.000
0.000 4.537 0.000
0.000 0.000 4.537
C Mn
2 4
Direct
0.000 0.500 0.500
0.500 0.000 0.000
0.000 0.799 0.799
0.000 0.201 0.201
0.500 0.701 0.299
0.500 0.299 0.701
```

formation energy = -0.020 eV/atom
space group = P4_2/mnm

***

(8)
The following is a DFT calculation (PBEsol) of SrSb3 after structural relaxation.

```
SrSb3
1.0
4.264 0.000 0.000
2.132 3.693 0.000
2.132 1.231 8.118
Sb Sr
3 1
Direct
0.760 0.760 0.720
0.500 0.500 0.500
0.240 0.240 0.280
0.000 0.000 0.000
```

space group = R-3m
formation energy (no corrections) = -7.33 kcal/mol of atoms

***

(9)
The following is a DFT calculation (PBEsol) of Ca after structural relaxation.

```
Ca
1.0
-3.531 0.629 1.053
0.047 -2.525 -2.755
1.957 -1.294 2.910
Ca
1
Direct
0.000 0.000 0.000
```

formation energy = 0.016 eV/atom
space group = Im-3m

***

(10)
The following is a DFT calculation (PBEsol) of Ba2SrRh after structural relaxation.

```
Ba2SrRh
1.0
-0.741 2.097 -4.534
0.857 -4.541 -2.240
-5.007 -1.098 0.310
Ba Rh Sr
2 1 1
Direct
0.000 0.000 0.500
0.000 0.500 0.000
0.500 0.500 0.500
0.500 0.000 0.000
```

formation energy = 0.274 eV/atom
space group = P4/mmm

***

(11)
The following is a DFT calculation (PBEsol) of LaY2Rh after structural relaxation.

```
LaY2Rh
1.0
-3.438 0.689 3.684
-4.649 -2.013 -0.451
-1.379 -3.904 2.955
La Rh Y
1 1 2
Direct
0.000 0.000 0.000
0.500 0.500 0.500
0.250 0.250 0.250
0.750 0.750 0.750
```

formation energy = -0.080 eV/atom
space group = Fm-3m

***

(12)
The following is a DFT calculation (PBEsol) of Li2Ti4NiP4O20 after structural relaxation.

```
Li2Ti4NiP4O20
1.0
-5.824 0.801 2.573
-2.962 -2.899 -5.955
0.471 -6.628 3.039
Li Ti Ni P O
2 4 1 4 20
Direct
0.000 0.000 0.000
0.500 0.000 0.000
0.240 0.772 0.659
0.250 0.721 0.159
0.750 0.279 0.841
0.760 0.228 0.341
0.500 0.500 0.500
0.254 0.368 0.872
0.251 0.126 0.375
0.749 0.874 0.625
0.746 0.632 0.128
0.057 0.247 0.858
0.054 0.243 0.379
0.265 0.011 0.551
0.243 0.486 0.048
0.243 0.837 0.889
0.282 0.657 0.388
0.274 0.496 0.703
0.252 0.000 0.202
0.444 0.241 0.883
0.440 0.259 0.364
0.560 0.741 0.636
0.556 0.759 0.117
0.748 0.000 0.798
0.726 0.504 0.297
0.718 0.343 0.612
0.757 0.163 0.111
0.757 0.514 0.952
0.735 0.989 0.449
0.946 0.757 0.621
0.943 0.753 0.142
```

space group = P-1
formation energy (no corrections) = -57.86 kcal/mol of atoms

***

no.,electronic total energy (eV/atom)
1,-5.7750
2,-3.1720
3,-4.6930
4,-2.1399
5,-6.1992
6,-6.3991
7,-9.7416
8,-4.1959
9,-2.1168
10,-3.2952
11,-6.8620
12,-8.0424